No. 1
## GaIrRh2O (GGA-PBE)

Data for a relaxed GaIrRh2O crystal.

abc: 4.173 4.173 4.028
angles: 90.00 90.00 90.00
Space group P4/mmm (No. 123)
Asymmetric unit:
Ga: 0.000 0.000 0.000 x1
Ir: 0.500 0.500 0.000 x1
Rh: 0.000 0.500 0.500 x2
O: 0.500 0.500 0.500 x1

* formation energy (no corrections): 1.250 eV/f.u.
* M_tot: 0.00 μB/f.u.
* calculated total energy: -6.06 eV/atom

---

No. 2
## CsNa2GePb (GGA-PBE)

Data for a relaxed CsNa2GePb crystal.

abc: 5.845 5.845 5.817
angles: 90.00 90.00 90.00
Space group P4/mmm (No. 123)
Asymmetric unit:
Cs: 0.000 0.000 0.000 x1
Na: 0.000 0.500 0.500 x2
Ge: 0.500 0.500 0.500 x1
Pb: 0.500 0.500 0.000 x1

* M_tot: 0.00 μB/f.u.
* formation enthalpy at 0 K: 0.1 eV per formula unit
* calculated total energy: -2.33 eV/atom

---

No. 3
## KYP2 (GGA-PBE)

Data for a relaxed KYP2 crystal.

abc: 7.062 7.946 3.186
angles: 90.00 90.00 90.00
Space group Cmmm (No. 65)
Asymmetric unit:
K: 0.000 0.000 0.000 x2
Y: 0.000 0.500 0.000 x2
P: 0.250 0.250 0.500 x4

* distance to the lowest polymorph of the same formula: 1.907 eV/f.u.
* M_tot: 0.00 μB/f.u.
* formation enthalpy at 0 K: -1.3 eV per formula unit
* calculated total energy: -4.93 eV/atom

---

What did the third record say?
## KYP2 (GGA-PBE)

Data for a relaxed KYP2 crystal.

abc: 7.062 7.946 3.186
angles: 90.00 90.00 90.00
Space group Cmmm (No. 65)
Asymmetric unit:
K: 0.000 0.000 0.000 x2
Y: 0.000 0.500 0.000 x2
P: 0.250 0.250 0.500 x4

* distance to the lowest polymorph of the same formula: 1.907 eV/f.u.
* M_tot: 0.00 μB/f.u.
* formation enthalpy at 0 K: -1.3 eV per formula unit
* calculated total energy: -4.93 eV/atom